#w
A plane-wave DFT calculation with PBE was carried out for a relaxed SrHfSi2Ge crystal.

## Properties
SG = P4/mmm (123)

Cell lengths 5.0480, 5.0431, 5.0480 Å; angles 90.00, 90.00, 90.00 degrees
Last column: nearest neighbours and their distance in Å.
Element x y z (fractional)
Si 0.5000 0.0000 0.0000  2 Ge 2.52
Si 0.0000 0.0000 0.5000  2 Ge 2.52
Sr 0.5000 0.5000 0.5000  8 Si 3.57, 4 Hf 3.57
Hf 0.0000 0.5000 0.0000  2 Ge 2.52
Ge 0.0000 0.0000 0.0000  2 Hf 2.52, 4 Si 2.52


#x
A plane-wave DFT calculation with PBE was carried out for a relaxed SrHfSi2Ge crystal.

## Properties
SG = P4/mmm (123)

Cell lengths 5.0919, 5.1561, 5.0919 Å; angles 90.00, 90.00, 90.00 degrees
Last column: nearest neighbours and their distance in Å.
Element x y z (fractional)
Ge 0.0000 0.5000 0.0000  2 Hf 2.58
Hf 0.0000 0.0000 0.0000  4 Si 2.55, 2 Ge 2.58
Sr 0.5000 0.5000 0.5000  4 Ge 3.60, 8 Si 3.62
Si 0.0000 0.0000 0.5000  2 Hf 2.55
Si 0.5000 0.0000 0.0000  2 Hf 2.55


Energetically preferred structure: #x | next structure: +0.582 eV/atom


#w
A plane-wave DFT calculation with PBE was carried out for a relaxed SmHfGe2 crystal.

## Properties
SG = R-3m (166)

Cell lengths 4.0016, 4.0016, 7.0704 Å; angles 73.56, 73.56, 60.00 degrees
Last column: nearest neighbours and their distance in Å.
Element x y z (fractional)
Ge 0.2590 0.2590 0.2230  3 Hf 2.75, 3 Sm 2.96
Ge 0.7410 0.7410 0.7770  3 Hf 2.75, 3 Sm 2.96
Hf 0.0000 0.0000 0.0000  6 Ge 2.75
Sm 0.5000 0.5000 0.5000  6 Ge 2.96


#x
A plane-wave DFT calculation with PBE was carried out for a relaxed SmHfGe2 crystal.

## Properties
SG = Cmcm (63)

Cell lengths 4.1789, 6.5013, 12.5986 Å; angles 90.00, 90.00, 90.00 degrees
Last column: nearest neighbours and their distance in Å.
Element x y z (fractional)
Ge 0.2500 0.9529 0.3677  1 Ge 2.64, 3 Hf 2.79-2.80
Ge 0.7500 0.9528 0.8678  1 Ge 2.64, 3 Hf 2.79-2.80
Ge 0.2500 0.5472 0.3678  1 Ge 2.64, 3 Hf 2.79-2.80
Ge 0.7500 0.4528 0.6322  1 Ge 2.64, 3 Hf 2.79-2.80
Ge 0.2500 0.4529 0.1323  1 Ge 2.64, 3 Hf 2.79-2.80
Ge 0.2500 0.0472 0.1322  1 Ge 2.64, 3 Hf 2.79-2.80
Ge 0.7500 0.0471 0.6323  1 Ge 2.64, 3 Hf 2.79-2.80
Ge 0.7500 0.5471 0.8677  1 Ge 2.64, 3 Hf 2.79-2.80
Sm 0.2500 0.7499 0.6989  8 Ge 2.97-3.26
Sm 0.7500 0.7501 0.1989  8 Ge 2.97-3.26
Sm 0.7500 0.2501 0.3011  8 Ge 2.97-3.26
Sm 0.2500 0.2499 0.8011  8 Ge 2.97-3.26
Hf 0.2500 0.7499 0.9713  6 Ge 2.79-2.80
Hf 0.7500 0.2501 0.0287  6 Ge 2.79-2.80
Hf 0.2500 0.2499 0.5287  6 Ge 2.79-2.80
Hf 0.7500 0.7501 0.4713  6 Ge 2.79-2.80


Energetically preferred structure: #x | next structure: +0.024 eV/atom


#w
A plane-wave DFT calculation with PBE was carried out for a relaxed Hf2Sn2Ge crystal.

## Properties
SG = P4/mbm (127)

Cell lengths 7.1736, 7.1736, 4.3785 Å; angles 90.00, 90.00, 90.00 degrees
Last column: nearest neighbours and their distance in Å.
Element x y z (fractional)
Sn 0.1471 0.6471 0.5000  6 Hf 2.92-3.12, 1 Sn 2.99
Sn 0.6471 0.8529 0.5000  6 Hf 2.92-3.12, 1 Sn 2.99
Sn 0.8529 0.3529 0.5000  6 Hf 2.92-3.12, 1 Sn 2.99
Sn 0.3529 0.1471 0.5000  6 Hf 2.92-3.12, 1 Sn 2.99
Hf 0.6629 0.1629 0.0000  2 Ge 2.69, 2 Sn 2.92
Hf 0.1629 0.3371 0.0000  2 Ge 2.69, 2 Sn 2.92
Hf 0.3371 0.8371 0.0000  2 Ge 2.69, 2 Sn 2.92
Hf 0.8371 0.6629 0.0000  2 Ge 2.69, 2 Sn 2.92
Ge 0.0000 0.0000 0.0000  4 Hf 2.69
Ge 0.5000 0.5000 0.0000  4 Hf 2.69


#x
A plane-wave DFT calculation with PBE was carried out for a relaxed Hf2Sn2Ge crystal.

## Properties
SG = P4/mbm (127)

Cell lengths 7.6565, 7.6565, 3.9243 Å; angles 90.00, 90.00, 90.00 degrees
Last column: nearest neighbours and their distance in Å.
Element x y z (fractional)
Sn 0.8514 0.6486 0.0000  2 Ge 2.92, 6 Hf 2.94-3.01, 1 Sn 3.22
Sn 0.6486 0.1486 0.0000  2 Ge 2.92, 6 Hf 2.94-3.01, 1 Sn 3.22
Sn 0.1486 0.3514 0.0000  2 Ge 2.92, 6 Hf 2.94-3.01, 1 Sn 3.22
Sn 0.3514 0.8514 0.0000  2 Ge 2.92, 6 Hf 2.94-3.01, 1 Sn 3.22
Hf 0.6496 0.8504 0.5000  6 Sn 2.94-3.01, 1 Hf 3.24
Hf 0.1496 0.6496 0.5000  6 Sn 2.94-3.01, 1 Hf 3.24
Hf 0.8504 0.3504 0.5000  6 Sn 2.94-3.01, 1 Hf 3.24
Hf 0.3504 0.1496 0.5000  6 Sn 2.94-3.01, 1 Hf 3.24
Ge 0.5000 0.5000 0.0000  4 Sn 2.92
Ge 0.0000 0.0000 0.0000  4 Sn 2.92


Energetically preferred structure: #w | next structure: +0.349 eV/atom